Entry 1:
Tm2Al2SiRh5 | PBE | relaxed

Geometry as CIF:
```
data_Tm2Al2SiRh5
_chemical_formula_sum 'Tm4 Al4 Si2 Rh10'
_space_group_name_H-M_alt 'P 4/m b m'
_space_group_IT_number 127
_space_group_name_Hall '-P 4 2ab'
_cell_length_a 9.818
_cell_length_b 9.818
_cell_length_c 3.345
_cell_angle_alpha 90.00
_cell_angle_beta 90.00
_cell_angle_gamma 90.00
loop_
_atom_site_label
_atom_site_type_symbol
_atom_site_fract_x
_atom_site_fract_y
_atom_site_fract_z
_atom_site_occupancy
Tm1 Tm 0.172 0.328 0.000 1
Al1 Al 0.127 0.627 0.000 1
Si1 Si 0.000 0.000 0.000 1
Rh1 Rh 0.000 0.500 0.500 1
Rh2 Rh 0.064 0.803 0.500 1
```

Computed properties:
Energy relative to the elements, uncorrected, eV per atom: -0.892

Entry 2:
Tm2AlSi4Rh3 | PBE | relaxed

Geometry as CIF:
```
data_Tm2AlSi4Rh3
_chemical_formula_sum 'Tm2 Al1 Si4 Rh3'
_space_group_name_H-M_alt 'P -4 m 2'
_space_group_IT_number 115
_cell_length_a 4.014
_cell_length_b 4.014
_cell_length_c 10.329
_cell_angle_alpha 90.00
_cell_angle_beta 90.00
_cell_angle_gamma 90.00
loop_
_space_group_symop_operation_xyz
'x,y,z'
'y,-x,-z'
'-x,-y,z'
'-y,x,-z'
'-x,y,z'
'-y,-x,-z'
'x,-y,z'
'y,x,-z'
loop_
_atom_site_label
_atom_site_type_symbol
_atom_site_fract_x
_atom_site_fract_y
_atom_site_fract_z
_atom_site_occupancy
Tm1 Tm 0.000 0.500 0.244 1
Al1 Al 0.000 0.000 0.500 1
Si1 Si 0.000 0.000 0.000 1
Si2 Si 0.000 0.500 0.647 1
Si3 Si 0.500 0.500 0.000 1
Rh1 Rh 0.000 0.500 0.874 1
Rh2 Rh 0.500 0.500 0.500 1
```

Computed properties:
Energy relative to the elements, uncorrected, eV per atom: -0.916

Entry 3:
Y2AlSi4Rh3 | PBE | relaxed

Geometry as CIF:
```
data_Y2AlSi4Rh3
_chemical_formula_sum 'Y2 Al1 Si4 Rh3'
_space_group_name_H-M_alt 'P -4 m 2'
_space_group_IT_number 115
_cell_length_a 4.067
_cell_length_b 4.067
_cell_length_c 10.252
_cell_angle_alpha 90.00
_cell_angle_beta 90.00
_cell_angle_gamma 90.00
loop_
_space_group_symop_operation_xyz
'x,y,z'
'y,-x,-z'
'-x,-y,z'
'-y,x,-z'
'-x,y,z'
'-y,-x,-z'
'x,-y,z'
'y,x,-z'
loop_
_atom_site_label
_atom_site_type_symbol
_atom_site_fract_x
_atom_site_fract_y
_atom_site_fract_z
_atom_site_occupancy
Y1 Y 0.000 0.500 0.243 1
Al1 Al 0.000 0.000 0.500 1
Si1 Si 0.000 0.000 0.000 1
Si2 Si 0.000 0.500 0.646 1
Si3 Si 0.500 0.500 0.000 1
Rh1 Rh 0.000 0.500 0.877 1
Rh2 Rh 0.500 0.500 0.500 1
```

Computed properties:
Energy relative to the elements, uncorrected, eV per atom: -0.937

Entry 4:
Y2Al2SiRh5 | PBE | relaxed

Geometry as CIF:
```
data_Y2Al2SiRh5
_chemical_formula_sum 'Y4 Al4 Si2 Rh10'
_space_group_name_H-M_alt 'P 4/m b m'
_space_group_IT_number 127
_space_group_name_Hall '-P 4 2ab'
_cell_length_a 9.903
_cell_length_b 9.903
_cell_length_c 3.350
_cell_angle_alpha 90.00
_cell_angle_beta 90.00
_cell_angle_gamma 90.00
loop_
_atom_site_label
_atom_site_type_symbol
_atom_site_fract_x
_atom_site_fract_y
_atom_site_fract_z
_atom_site_occupancy
Y1 Y 0.173 0.327 0.000 1
Al1 Al 0.127 0.627 0.000 1
Si1 Si 0.000 0.000 0.000 1
Rh1 Rh 0.000 0.500 0.500 1
Rh2 Rh 0.063 0.803 0.500 1
```

Computed properties:
Energy relative to the elements, uncorrected, eV per atom: -0.852

Entry 5:
Y2AlSi3Rh4 | PBE | relaxed

Geometry as CIF:
```
data_Y2AlSi3Rh4
_chemical_formula_sum 'Y2 Al1 Si3 Rh4'
_space_group_name_H-M_alt 'P -4 m 2'
_space_group_IT_number 115
_cell_length_a 4.122
_cell_length_b 4.122
_cell_length_c 9.953
_cell_angle_alpha 90.00
_cell_angle_beta 90.00
_cell_angle_gamma 90.00
loop_
_space_group_symop_operation_xyz
'x,y,z'
'y,-x,-z'
'-x,-y,z'
'-y,x,-z'
'-x,y,z'
'-y,-x,-z'
'x,-y,z'
'y,x,-z'
loop_
_atom_site_label
_atom_site_type_symbol
_atom_site_fract_x
_atom_site_fract_y
_atom_site_fract_z
_atom_site_occupancy
Y1 Y 0.000 0.500 0.250 1
Al1 Al 0.000 0.000 0.500 1
Si1 Si 0.000 0.500 0.872 1
Si2 Si 0.500 0.500 0.500 1
Rh1 Rh 0.000 0.000 0.000 1
Rh2 Rh 0.000 0.500 0.635 1
Rh3 Rh 0.500 0.500 0.000 1
```

Computed properties:
Energy relative to the elements, uncorrected, eV per atom: -1.056

Entry 6:
ZrAl2SiRh | PBE | relaxed

Geometry as CIF:
```
data_ZrAl2SiRh
_chemical_formula_sum 'Zr1 Al2 Si1 Rh1'
_space_group_name_H-M_alt 'P 4/m m m'
_space_group_IT_number 123
_space_group_name_Hall '-P 4 2'
_cell_length_a 4.516
_cell_length_b 4.516
_cell_length_c 4.929
_cell_angle_alpha 90.00
_cell_angle_beta 90.00
_cell_angle_gamma 90.00
loop_
_atom_site_label
_atom_site_type_symbol
_atom_site_fract_x
_atom_site_fract_y
_atom_site_fract_z
_atom_site_occupancy
Zr1 Zr 0.000 0.000 0.000 1
Al1 Al 0.000 0.500 0.500 1
Si1 Si 0.000 0.000 0.500 1
Rh1 Rh 0.500 0.500 0.000 1
```

Computed properties:
Energy relative to the elements, uncorrected, eV per atom: 0.492

Entry 7:
Sm6AlRh2 | PBE | relaxed

Geometry as CIF:
```
data_Sm6AlRh2
_chemical_formula_sum 'Sm24 Al4 Rh8'
_space_group_name_H-M_alt 'I m m m'
_space_group_IT_number 71
_space_group_name_Hall '-I 2 2'
_cell_length_a 9.514
_cell_length_b 9.735
_cell_length_c 10.553
_cell_angle_alpha 90.00
_cell_angle_beta 90.00
_cell_angle_gamma 90.00
loop_
_atom_site_label
_atom_site_type_symbol
_atom_site_fract_x
_atom_site_fract_y
_atom_site_fract_z
_atom_site_occupancy
Sm1 Sm 0.000 0.195 0.238 1
Sm2 Sm 0.193 0.500 0.170 1
Sm3 Sm 0.213 0.321 0.500 1
Al1 Al 0.000 0.000 0.000 1
Al2 Al 0.000 0.000 0.500 1
Rh1 Rh 0.000 0.325 0.000 1
Rh2 Rh 0.000 0.500 0.367 1
```

Computed properties:
Formation energy from the elements, eV/atom: -0.481

Entry 8:
Sm2Al3Rh | PBE | relaxed

Geometry as CIF:
```
data_Sm2Al3Rh
_chemical_formula_sum 'Sm6 Al9 Rh3'
_space_group_name_H-M_alt 'R -3 m'
_space_group_IT_number 166
_space_group_name_Hall '-R 3 2"'
_cell_length_a 5.5821
_cell_length_b 5.5821
_cell_length_c 13.3263
_cell_angle_alpha 90.00
_cell_angle_beta 90.00
_cell_angle_gamma 120.00
loop_
_atom_site_label
_atom_site_type_symbol
_atom_site_fract_x
_atom_site_fract_y
_atom_site_fract_z
_atom_site_occupancy
Sm1 Sm 0.0000 0.0000 0.1252 1
Al1 Al 0.0000 0.5000 0.0000 1
Rh1 Rh 0.0000 0.0000 0.5000 1
```

Computed properties:
Formation energy from the elements, eV/atom: -0.661

Entry 9:
Sm2Al5Rh | PBE | relaxed

Geometry as CIF:
```
data_Sm2Al5Rh
_chemical_formula_sum 'Sm4 Al10 Rh2'
_space_group_name_H-M_alt 'I 4 m m'
_space_group_IT_number 107
_space_group_name_Hall 'I 4 -2'
_cell_length_a 6.203
_cell_length_b 6.203
_cell_length_c 8.875
_cell_angle_alpha 90.00
_cell_angle_beta 90.00
_cell_angle_gamma 90.00
loop_
_atom_site_label
_atom_site_type_symbol
_atom_site_fract_x
_atom_site_fract_y
_atom_site_fract_z
_atom_site_occupancy
Sm1 Sm 0.000 0.500 0.000 1
Al1 Al 0.000 0.000 0.015 1
Al2 Al 0.219 0.219 0.247 1
Rh1 Rh 0.000 0.000 0.744 1
```

Computed properties:
Formation energy from the elements, eV/atom: -0.452

Entry 10:
Sm3Al2Rh3 | PBE | relaxed

Geometry as CIF:
```
data_Sm3Al2Rh3
_chemical_formula_sum 'Sm6 Al4 Rh6'
_space_group_name_H-M_alt 'P 63/m c m'
_space_group_IT_number 193
_space_group_name_Hall '-P 6c 2'
_cell_length_a 8.1240
_cell_length_b 8.1240
_cell_length_c 5.7011
_cell_angle_alpha 90.00
_cell_angle_beta 90.00
_cell_angle_gamma 120.00
loop_
_atom_site_label
_atom_site_type_symbol
_atom_site_fract_x
_atom_site_fract_y
_atom_site_fract_z
_atom_site_occupancy
Sm1 Sm 0.0000 0.2644 0.2500 1
Al1 Al 0.3333 0.6667 0.0000 1
Rh1 Rh 0.0000 0.4069 0.7500 1
```

Computed properties:
Formation energy from the elements, eV/atom: -0.725

Entry 11:
Sm6Al2Rh | PBE | relaxed

Geometry as CIF:
```
data_Sm6Al2Rh
_chemical_formula_sum 'Sm12 Al4 Rh2'
_space_group_name_H-M_alt 'I m m m'
_space_group_IT_number 71
_space_group_name_Hall '-I 2 2'
_cell_length_a 5.068
_cell_length_b 7.232
_cell_length_c 15.033
_cell_angle_alpha 90.00
_cell_angle_beta 90.00
_cell_angle_gamma 90.00
loop_
_atom_site_label
_atom_site_type_symbol
_atom_site_fract_x
_atom_site_fract_y
_atom_site_fract_z
_atom_site_occupancy
Sm1 Sm 0.000 0.239 0.000 1
Sm2 Sm 0.000 0.256 0.341 1
Al1 Al 0.000 0.500 0.167 1
Rh1 Rh 0.000 0.500 0.500 1
```

Computed properties:
Formation energy from the elements, eV/atom: -0.167

Entry 12:
Sm4AlRh | PBE | relaxed

Geometry as CIF:
```
data_Sm4AlRh
_chemical_formula_sum 'Sm16 Al4 Rh4'
_space_group_name_H-M_alt 'C 1 2/c 1'
_space_group_IT_number 15
_cell_length_a 8.945
_cell_length_b 13.790
_cell_length_c 6.099
_cell_angle_alpha 90.00
_cell_angle_beta 116.72
_cell_angle_gamma 90.00
loop_
_space_group_symop_operation_xyz
'x,y,z'
'-x,-y,-z'
'-x,y,-z+1/2'
'x,-y,z+1/2'
'x+1/2,y+1/2,z'
'-x+1/2,-y+1/2,-z'
'-x+1/2,y+1/2,-z+1/2'
'x+1/2,-y+1/2,z+1/2'
loop_
_atom_site_label
_atom_site_type_symbol
_atom_site_fract_x
_atom_site_fract_y
_atom_site_fract_z
_atom_site_occupancy
Sm1 Sm 0.120 0.182 0.083 1
Sm2 Sm 0.214 0.432 0.323 1
Al1 Al 0.000 0.374 0.750 1
Rh1 Rh 0.000 0.001 0.250 1
```

Computed properties:
Formation energy from the elements, eV/atom: -0.368

Entry 13:
SmAl3Rh2 | PBE | relaxed

Geometry as CIF:
```
data_SmAl3Rh2
_chemical_formula_sum 'Sm6 Al18 Rh12'
_space_group_name_H-M_alt 'C 1 2/m 1'
_space_group_IT_number 12
_cell_length_a 16.433
_cell_length_b 4.160
_cell_length_c 9.892
_cell_angle_alpha 90.00
_cell_angle_beta 106.60
_cell_angle_gamma 90.00
loop_
_space_group_symop_operation_xyz
'x,y,z'
'-x,-y,-z'
'-x,y,-z'
'x,-y,z'
'x+1/2,y+1/2,z'
'-x+1/2,-y+1/2,-z'
'-x+1/2,y+1/2,-z'
'x+1/2,-y+1/2,z'
loop_
_atom_site_label
_atom_site_type_symbol
_atom_site_fract_x
_atom_site_fract_y
_atom_site_fract_z
_atom_site_occupancy
Sm1 Sm 0.000 0.000 0.000 1
Sm2 Sm 0.162 0.000 0.709 1
Al1 Al 0.000 0.500 0.500 1
Al2 Al 0.045 0.000 0.349 1
Al3 Al 0.127 0.500 0.206 1
Al4 Al 0.177 0.500 0.965 1
Al5 Al 0.215 0.000 0.395 1
Rh1 Rh 0.027 0.500 0.775 1
Rh2 Rh 0.137 0.500 0.455 1
Rh3 Rh 0.189 0.000 0.123 1
```

Computed properties:
Formation energy from the elements, eV/atom: -0.826

Entry 14:
Sm8Al2Rh | PBE | relaxed

Geometry as CIF:
```
data_Sm8Al2Rh
_chemical_formula_sum 'Sm16 Al4 Rh2'
_space_group_name_H-M_alt 'C 1 2/m 1'
_space_group_IT_number 12
_cell_length_a 18.552
_cell_length_b 5.110
_cell_length_c 6.783
_cell_angle_alpha 90.00
_cell_angle_beta 101.92
_cell_angle_gamma 90.00
loop_
_space_group_symop_operation_xyz
'x,y,z'
'-x,-y,-z'
'-x,y,-z'
'x,-y,z'
'x+1/2,y+1/2,z'
'-x+1/2,-y+1/2,-z'
'-x+1/2,y+1/2,-z'
'x+1/2,-y+1/2,z'
loop_
_atom_site_label
_atom_site_type_symbol
_atom_site_fract_x
_atom_site_fract_y
_atom_site_fract_z
_atom_site_occupancy
Sm1 Sm 0.021 0.000 0.277 1
Sm2 Sm 0.093 0.500 0.954 1
Sm3 Sm 0.150 0.500 0.470 1
Sm4 Sm 0.209 0.000 0.800 1
Al1 Al 0.189 0.000 0.248 1
Rh1 Rh 0.000 0.500 0.500 1
```

Computed properties:
Formation energy from the elements, eV/atom: -0.262

Entry 15:
SmAl9Rh2 | PBE | relaxed

Geometry as CIF:
```
data_SmAl9Rh2
_chemical_formula_sum 'Sm4 Al36 Rh8'
_space_group_name_H-M_alt 'I 41/a m d'
_space_group_IT_number 141
_cell_length_a 10.761
_cell_length_b 10.761
_cell_length_c 6.925
_cell_angle_alpha 90.00
_cell_angle_beta 90.00
_cell_angle_gamma 90.00
loop_
_space_group_symop_operation_xyz
'x,y,z'
'-x,-y,-z'
'-y+1/4,x+3/4,z+1/4'
'y+1/4,-x+3/4,-z+1/4'
'-x+1/2,-y,z+1/2'
'x+1/2,y,-z+1/2'
'y+1/4,-x+1/4,z+3/4'
'-y+1/4,x+1/4,-z+3/4'
'x,-y,-z'
'-x,y,z'
'-y+1/4,-x+1/4,-z+3/4'
'y+1/4,x+1/4,z+3/4'
'-x+1/2,y,-z+1/2'
'x+1/2,-y,z+1/2'
'y+1/4,x+3/4,-z+1/4'
'-y+1/4,-x+3/4,z+1/4'
'x+1/2,y+1/2,z+1/2'
'-x+1/2,-y+1/2,-z+1/2'
'-y+3/4,x+1/4,z+3/4'
'y+3/4,-x+1/4,-z+3/4'
'-x,-y+1/2,z'
'x,y+1/2,-z'
'y+3/4,-x+3/4,z+1/4'
'-y+3/4,x+3/4,-z+1/4'
'x+1/2,-y+1/2,-z+1/2'
'-x+1/2,y+1/2,z+1/2'
'-y+3/4,-x+3/4,-z+1/4'
'y+3/4,x+3/4,z+1/4'
'-x,y+1/2,-z'
'x,-y+1/2,z'
'y+3/4,x+1/4,-z+3/4'
'-y+3/4,-x+1/4,z+3/4'
loop_
_atom_site_label
_atom_site_type_symbol
_atom_site_fract_x
_atom_site_fract_y
_atom_site_fract_z
_atom_site_occupancy
Sm1 Sm 0.000 0.250 0.375 1
Al1 Al 0.000 0.250 0.875 1
Al2 Al 0.121 0.050 0.684 1
Rh1 Rh 0.000 0.000 0.000 1
```

Computed properties:
Formation energy from the elements, eV/atom: -0.556

Entry 16:
SmAlRh2 | PBE | relaxed

Geometry as CIF:
```
data_SmAlRh2
_chemical_formula_sum 'Sm3 Al3 Rh6'
_space_group_name_H-M_alt 'R -3 m'
_space_group_IT_number 166
_space_group_name_Hall '-R 3 2"'
_cell_length_a 4.2848
_cell_length_b 4.2848
_cell_length_c 14.1538
_cell_angle_alpha 90.00
_cell_angle_beta 90.00
_cell_angle_gamma 120.00
loop_
_atom_site_label
_atom_site_type_symbol
_atom_site_fract_x
_atom_site_fract_y
_atom_site_fract_z
_atom_site_occupancy
Sm1 Sm 0.0000 0.0000 0.0000 1
Al1 Al 0.0000 0.0000 0.5000 1
Rh1 Rh 0.0000 0.0000 0.2160 1
```

Computed properties:
Formation energy from the elements, eV/atom: -0.776

Entry 17:
Sm2AlRh2 | PBE | relaxed

Geometry as CIF:
```
data_Sm2AlRh2
_chemical_formula_sum 'Sm8 Al4 Rh8'
_space_group_name_H-M_alt 'C 1 2/c 1'
_space_group_IT_number 15
_cell_length_a 10.220
_cell_length_b 5.593
_cell_length_c 7.640
_cell_angle_alpha 90.00
_cell_angle_beta 103.84
_cell_angle_gamma 90.00
loop_
_space_group_symop_operation_xyz
'x,y,z'
'-x,-y,-z'
'-x,y,-z+1/2'
'x,-y,z+1/2'
'x+1/2,y+1/2,z'
'-x+1/2,-y+1/2,-z'
'-x+1/2,y+1/2,-z+1/2'
'x+1/2,-y+1/2,z+1/2'
loop_
_atom_site_label
_atom_site_type_symbol
_atom_site_fract_x
_atom_site_fract_y
_atom_site_fract_z
_atom_site_occupancy
Sm1 Sm 0.147 0.142 0.149 1
Al1 Al 0.000 0.373 0.750 1
Rh1 Rh 0.132 0.366 0.507 1
```

Computed properties:
Formation energy from the elements, eV/atom: -0.835

Entry 18:
Sm3Al9Rh2 | PBE | relaxed

Geometry as CIF:
```
data_Sm3Al9Rh2
_chemical_formula_sum 'Sm6 Al18 Rh4'
_space_group_name_H-M_alt 'I m m m'
_space_group_IT_number 71
_space_group_name_Hall '-I 2 2'
_cell_length_a 4.346
_cell_length_b 9.758
_cell_length_c 12.556
_cell_angle_alpha 90.00
_cell_angle_beta 90.00
_cell_angle_gamma 90.00
loop_
_atom_site_label
_atom_site_type_symbol
_atom_site_fract_x
_atom_site_fract_y
_atom_site_fract_z
_atom_site_occupancy
Sm1 Sm 0.000 0.000 0.000 1
Sm2 Sm 0.000 0.000 0.298 1
Al1 Al 0.000 0.283 0.128 1
Al2 Al 0.000 0.360 0.348 1
Al3 Al 0.000 0.500 0.000 1
Rh1 Rh 0.000 0.182 0.500 1
```

Computed properties:
Formation energy from the elements, eV/atom: -0.658

Entry 19:
Sm4AlRh | PBE | relaxed

Geometry as CIF:
```
data_Sm4AlRh
_chemical_formula_sum 'Sm64 Al16 Rh16'
_space_group_name_H-M_alt 'F -4 3 m'
_space_group_IT_number 216
_space_group_name_Hall 'F -4 2 3'
_cell_length_a 13.754
_cell_length_b 13.754
_cell_length_c 13.754
_cell_angle_alpha 90.00
_cell_angle_beta 90.00
_cell_angle_gamma 90.00
loop_
_atom_site_label
_atom_site_type_symbol
_atom_site_fract_x
_atom_site_fract_y
_atom_site_fract_z
_atom_site_occupancy
Sm1 Sm 0.000 0.000 0.186 1
Sm2 Sm 0.055 0.250 0.250 1
Sm3 Sm 0.101 0.101 0.601 1
Al1 Al 0.175 0.175 0.825 1
Rh1 Rh 0.108 0.108 0.392 1
```

Computed properties:
Formation energy from the elements, eV/atom: -0.454